Computed, not measured: a relaxed SrAsPdBr2 crystal at the PBE level of DFT.

Unit cell a=5.850 b=5.850 c=6.287 alpha=90.00 beta=90.00 gamma=90.00
Last column: magnetic moment on the atom in μB.
Fractional coordinates of all 5 atoms:
Br1 0.500 0.000 0.000  0.07
Br2 0.000 0.500 0.000  0.07
Pd1 0.500 0.500 0.500  0.47
Sr1 0.000 0.000 0.000  0.02
As1 0.000 0.000 0.500  0.95

Calculated values
- DFT total energy: -2.9188 eV per atom
- Crystal system: tetragonal
- Distance to the lowest polymorph of the same formula: 690.7 meV/atom
- E_form (uncorrected): 0.055 eV per atom

Computed, not measured: a relaxed Sr6AsPd2Br3 crystal at the PBE level of DFT.

Unit cell a=7.734 b=7.734 c=8.206 alpha=99.11 beta=99.11 gamma=120.02
Fractional coordinates of all 12 atoms:
Sr1 0.071 0.406 0.214
Sr2 0.929 0.594 0.786
Sr3 0.594 0.929 0.786
Sr4 0.737 0.737 0.214
Sr5 0.263 0.263 0.786
Sr6 0.406 0.071 0.214
Pd1 0.333 0.667 0.000
Pd2 0.667 0.333 0.000
As1 0.000 0.000 0.000
Br1 0.163 0.837 0.500
Br2 0.837 0.163 0.500
Br3 0.500 0.500 0.500

Calculated values
- DFT total energy: -3.7321 eV per atom
- Crystal system: monoclinic
- E_form (uncorrected): -1.220 eV per atom

Computed, not measured: a relaxed TaAsPdBr2 crystal at the PBE level of DFT.

Unit cell a=5.081 b=5.081 c=5.077 alpha=90.00 beta=90.00 gamma=90.00
Fractional coordinates of all 5 atoms:
As1 0.000 0.000 0.500
Pd1 0.500 0.500 0.500
Ta1 0.000 0.000 0.000
Br1 0.000 0.500 0.000
Br2 0.500 0.000 0.000

Calculated values
- DFT total energy: -4.6033 eV per atom
- Crystal system: tetragonal
- Distance to the lowest polymorph of the same formula: 0.0 meV/atom
- E_form (uncorrected): 0.405 eV per atom

Computed, not measured: a relaxed TaAsPd2Br crystal at the PBE level of DFT.

Unit cell a=4.704 b=4.827 c=4.704 alpha=90.00 beta=90.00 gamma=90.00
Fractional coordinates of all 5 atoms:
Ta1 0.000 0.500 0.000
Br1 0.000 0.000 0.000
Pd1 0.000 0.000 0.500
Pd2 0.500 0.000 0.000
As1 0.500 0.500 0.500

Calculated values
- DFT total energy: -4.6900 eV per atom
- Crystal system: tetragonal
- E_form (uncorrected): 1.022 eV per atom

Among the records above, which one has the lowest DFT total energy? TaAsPd2Br